First-principles (PBE with a Hubbard U) data for an optimized crystal structure of PaBeCrO6, as listed in the Alexandria database.

Geometry as POSCAR:
```
PaBeCrO6
1.0
4.8495 0.0000 0.0000
-2.4248 4.1998 0.0000
0.0000 0.0000 4.7714
Pa Be Cr O
1 1 1 6
direct
0.0000 0.0000 0.0000
0.6667 0.3333 0.5000
0.3333 0.6667 0.5000
0.3610 0.0066 0.7189
0.3610 0.3544 0.2811
0.6456 0.0066 0.2811
0.6456 0.6390 0.7189
0.9934 0.3544 0.7189
0.9934 0.6390 0.2811
```

Total energy = -71.0 eV per cell
DOS(E_F) = 4.46 states/eV/cell